Entry 1:
Entry from Alexandria: La2OsRu after structural relaxation (GGA-PBE).

```
data_La2OsRu
_cell_length_a 3.552
_cell_length_b 3.576
_cell_length_c 7.115
_cell_angle_alpha 90.00
_cell_angle_beta 90.00
_cell_angle_gamma 90.00
_space_group_name_H-M_alt 'P 1'
_space_group_IT_number 1
loop_
_space_group_symop_operation_xyz
'x,y,z'
loop_
_atom_site_label
_atom_site_type_symbol
_atom_site_fract_x
_atom_site_fract_y
_atom_site_fract_z
_atom_site_occupancy
La1 La 0.000 0.000 0.250 1
La2 La 0.000 0.000 0.750 1
Os1 Os 0.500 0.500 0.000 1
Ru1 Ru 0.500 0.500 0.500 1
```

Summary:
The calculation puts the energy of formation at 0.091 eV per atom. The calculation puts the total energy at -30.00 eV per cell. As for the space-group type: Pmmm, No. 47. Its total magnetic moment is 0.00 μB per formula unit. The relative energy among the computed polymorphs comes out at 172 meV/atom.


Entry 2:
Entry from Alexandria: La2OsRu after structural relaxation (GGA-PBE).

```
data_La2OsRu
_cell_length_a 6.947
_cell_length_b 6.947
_cell_length_c 6.947
_cell_angle_alpha 90.00
_cell_angle_beta 90.00
_cell_angle_gamma 90.00
_space_group_name_H-M_alt 'P 1'
_space_group_IT_number 1
loop_
_space_group_symop_operation_xyz
'x,y,z'
loop_
_atom_site_label
_atom_site_type_symbol
_atom_site_fract_x
_atom_site_fract_y
_atom_site_fract_z
_atom_site_occupancy
La1 La 0.000 0.000 0.000 1
La2 La 0.000 0.500 0.500 1
La3 La 0.250 0.250 0.250 1
La4 La 0.250 0.750 0.750 1
La5 La 0.500 0.000 0.500 1
La6 La 0.500 0.500 0.000 1
La7 La 0.750 0.250 0.750 1
La8 La 0.750 0.750 0.250 1
Os1 Os 0.000 0.000 0.500 1
Os2 Os 0.000 0.500 0.000 1
Os3 Os 0.500 0.000 0.000 1
Os4 Os 0.500 0.500 0.500 1
Ru1 Ru 0.250 0.250 0.750 1
Ru2 Ru 0.250 0.750 0.250 1
Ru3 Ru 0.750 0.250 0.250 1
Ru4 Ru 0.750 0.750 0.750 1
```

Summary:
The calculation puts the energy of formation at 0.320 eV per atom. The calculation puts the total energy at -116.32 eV per cell. As for the space-group type: F-43m, No. 216. Its total magnetic moment is 0.40 μB per formula unit. The relative energy among the computed polymorphs comes out at 401 meV/atom.


Entry 3:
Entry from Alexandria: La2OsRu after structural relaxation (GGA-PBE).

```
data_La2OsRu
_cell_length_a 4.162
_cell_length_b 4.162
_cell_length_c 10.182
_cell_angle_alpha 90.00
_cell_angle_beta 90.00
_cell_angle_gamma 90.00
_space_group_name_H-M_alt 'P 1'
_space_group_IT_number 1
loop_
_space_group_symop_operation_xyz
'x,y,z'
loop_
_atom_site_label
_atom_site_type_symbol
_atom_site_fract_x
_atom_site_fract_y
_atom_site_fract_z
_atom_site_occupancy
La1 La 0.000 0.000 0.000 1
La2 La 0.000 0.500 0.250 1
La3 La 0.500 0.000 0.750 1
La4 La 0.500 0.500 0.500 1
Os1 Os 0.000 0.500 0.750 1
Os2 Os 0.500 0.000 0.250 1
Ru1 Ru 0.000 0.000 0.500 1
Ru2 Ru 0.500 0.500 0.000 1
```

Summary:
The calculation puts the energy of formation at 0.259 eV per atom. The calculation puts the total energy at -58.65 eV per cell. As for the space-group type: I-4m2, No. 119. Its total magnetic moment is 0.00 μB per formula unit. The relative energy among the computed polymorphs comes out at 340 meV/atom.


Which formula does entry 3 have?
La2OsRu